The following is a DFT calculation (PBE) of a relaxed BaMgTlPb crystal.

Cell and atoms, written as extended XYZ:
```
4
Lattice="0.000 4.026 4.026 4.026 0.000 4.026 4.026 4.026 0.000" Properties=species:S:1:pos:R:3 pbc="T T T"
Ba 0.000 0.000 0.000
Mg 4.026 4.026 4.026
Tl 2.013 2.013 2.013
Pb 6.040 6.040 6.040
```

Computed properties:
E_form ... -260.5 meV per atom